LaLuAg | the Open Quantum Materials Database | PBE | relaxed; ΔE_f = 0.529 eV per atom; total magnetization = 0.0012 μB per atom; offset from the most stable computed form = 493 meV/atom
1.0
0.000 3.580 3.580
3.580 0.000 3.580
3.580 3.580 0.000
La Lu Ag
1 1 1
Cartesian
0.000 0.000 0.000
1.790 1.790 1.790
5.371 5.371 5.371

=====

LaYNi2Ge4 | the Open Quantum Materials Database | PBE | relaxed; total magnetization = 0.0002 μB per atom; total DFT energy (no corrections) = -46.9 eV for the cell shown
1.0
4.224 0.000 0.000
0.000 2.113 8.403
0.000 -2.113 8.403
La Y Ni Ge
1 1 2 4
Cartesian
0.000 0.000 0.000
2.112 0.000 3.630
0.000 0.000 13.238
2.112 0.000 7.154
0.000 0.000 5.985
0.000 0.000 10.944
2.112 0.000 9.526
2.112 0.000 14.371

=====

GdTm2Mg3Al2Cd | the Open Quantum Materials Database | PBE | relaxed; total magnetization = 0.0005 μB per atom; total DFT energy (no corrections) = -29.3 eV for the cell shown
1.0
4.526 0.000 0.000
0.000 6.431 3.676
0.000 -6.431 3.676
Gd Tm Mg Al Cd
1 2 3 2 1
Cartesian
0.000 0.000 0.000
0.000 -2.772 2.602
0.000 2.772 2.602
2.263 0.000 2.372
2.263 -1.583 5.080
2.263 1.583 5.080
2.263 -4.265 4.189
2.263 4.265 4.189
0.000 0.000 4.145

=====

MgCu2Ge | the Open Quantum Materials Database | PBE | relaxed; total DFT energy (no corrections) = -54.3 eV for the cell shown
1.0
6.203 0.000 0.000
0.000 6.203 0.000
0.000 0.000 6.203
Mg Cu Ge
4 8 4
Cartesian
0.000 0.000 0.000
0.000 0.000 3.101
0.000 3.101 0.000
3.101 0.000 0.000
1.573 1.573 1.573
1.573 1.573 4.629
1.573 4.629 1.573
1.573 4.629 4.629
4.629 1.573 1.573
4.629 1.573 4.629
4.629 4.629 1.573
4.629 4.629 4.629
0.000 3.101 3.101
3.101 0.000 3.101
3.101 3.101 0.000
3.101 3.101 3.101